No. 1
DFT (PBE) results for a relaxed NaMgAsC2 crystal.

formation energy from the elements: 1.87 eV per atom
SG: P4/mmm, No. 123

Cell and atoms, written as CIF:
```
data_NaMgAsC2
_chemical_formula_sum 'Na1 Mg1 As1 C2'
_space_group_name_H-M_alt 'P 1'
_space_group_IT_number 1
_cell_length_a 4.0774
_cell_length_b 4.0774
_cell_length_c 5.1454
_cell_angle_alpha 90.00
_cell_angle_beta 90.00
_cell_angle_gamma 90.00
loop_
_space_group_symop_operation_xyz
'x,y,z'
loop_
_atom_site_label
_atom_site_type_symbol
_atom_site_fract_x
_atom_site_fract_y
_atom_site_fract_z
Na1 Na 0.0000 0.0000 0.0000
Mg1 Mg 0.5000 0.5000 0.0000
As1 As 0.0000 0.0000 0.5000
C1 C 0.0000 0.5000 0.5000
C2 C 0.5000 0.0000 0.5000
```



No. 2
DFT (PBE) results for a relaxed InNi2Os crystal.

formation energy from the elements: 0.28 eV per atom
SG: C2/m, No. 12

Cell and atoms, written as CIF:
```
data_InNi2Os
_chemical_formula_sum 'In1 Ni2 Os1'
_space_group_name_H-M_alt 'P 1'
_space_group_IT_number 1
_cell_length_a 4.5056
_cell_length_b 4.5056
_cell_length_c 4.8586
_cell_angle_alpha 99.37
_cell_angle_beta 99.37
_cell_angle_gamma 36.54
loop_
_space_group_symop_operation_xyz
'x,y,z'
loop_
_atom_site_label
_atom_site_type_symbol
_atom_site_fract_x
_atom_site_fract_y
_atom_site_fract_z
In1 In 0.0000 0.0000 0.0000
Ni1 Ni 0.2437 0.2437 0.7127
Ni2 Ni 0.7563 0.7563 0.2873
Os1 Os 0.5000 0.5000 0.5000
```



No. 3
DFT (PBE) results for a relaxed Ho2PuTl crystal.

formation energy from the elements: 0.05 eV per atom
SG: Fm-3m, No. 225
E above lowest polymorph: 0.1264 eV per atom

Cell and atoms, written as CIF:
```
data_Ho2PuTl
_chemical_formula_sum 'Ho2 Pu1 Tl1'
_space_group_name_H-M_alt 'P 1'
_space_group_IT_number 1
_cell_length_a 5.3977
_cell_length_b 5.3977
_cell_length_c 5.3977
_cell_angle_alpha 60.00
_cell_angle_beta 60.00
_cell_angle_gamma 60.00
loop_
_space_group_symop_operation_xyz
'x,y,z'
loop_
_atom_site_label
_atom_site_type_symbol
_atom_site_fract_x
_atom_site_fract_y
_atom_site_fract_z
Ho1 Ho 0.2500 0.2500 0.2500
Ho2 Ho 0.7500 0.7500 0.7500
Pu1 Pu 0.0000 0.0000 0.0000
Tl1 Tl 0.5000 0.5000 0.5000
```



No. 4
DFT (PBE) results for a relaxed Tl3SbAu crystal.

formation energy without anion corrections: -0.011 eV per atom
SG: P2_1/c, No. 14
E above lowest polymorph: 0.0062 eV per atom

Cell and atoms, written as CIF:
```
data_Tl3SbAu
_chemical_formula_sum 'Tl12 Sb4 Au4'
_space_group_name_H-M_alt 'P 1'
_space_group_IT_number 1
_cell_length_a 6.6869
_cell_length_b 9.5691
_cell_length_c 10.0836
_cell_angle_alpha 90.00
_cell_angle_beta 116.53
_cell_angle_gamma 90.00
loop_
_space_group_symop_operation_xyz
'x,y,z'
loop_
_atom_site_label
_atom_site_type_symbol
_atom_site_fract_x
_atom_site_fract_y
_atom_site_fract_z
Tl1 Tl 0.1701 0.1941 0.1387
Tl2 Tl 0.1701 0.3059 0.6387
Tl3 Tl 0.2476 0.5163 0.3382
Tl4 Tl 0.2476 0.9837 0.8382
Tl5 Tl 0.2871 0.6551 0.6926
Tl6 Tl 0.2871 0.8449 0.1926
Tl7 Tl 0.7129 0.1551 0.8074
Tl8 Tl 0.7129 0.3449 0.3074
Tl9 Tl 0.7524 0.0163 0.1618
Tl10 Tl 0.7524 0.4837 0.6618
Tl11 Tl 0.8299 0.6941 0.3613
Tl12 Tl 0.8299 0.8059 0.8613
Sb1 Sb 0.2232 0.5323 0.0009
Sb2 Sb 0.2232 0.9677 0.5009
Sb3 Sb 0.7768 0.0323 0.4991
Sb4 Sb 0.7768 0.4677 0.9991
Au1 Au 0.4215 0.2251 0.4674
Au2 Au 0.4215 0.2749 0.9674
Au3 Au 0.5785 0.7251 0.0326
Au4 Au 0.5785 0.7749 0.5326
```



Number 1: electronic total energy -3.3320 eV per atom. Number 2: electronic total energy -6.0984 eV per atom. Number 3: electronic total energy -6.4115 eV per atom. Number 4: electronic total energy -2.9105 eV per atom.